Record 1
Ac3Sn4Pd3: relaxed, PBE.

## Properties
- ΔH_f (0 K) (kJ/mol of formula units) = -729
- magnetization (μB per cell) = 0.00

a b c (Å): 8.9438 8.9438 8.9438
angles (deg): 109.47 109.47 109.47
Positions (direct):
Ac1 0.1250 0.8750 0.2500
Ac2 0.2500 0.1250 0.8750
Ac3 0.3750 0.6250 0.7500
Ac4 0.6250 0.7500 0.3750
Ac5 0.7500 0.3750 0.6250
Ac6 0.8750 0.2500 0.1250
Sn1 0.0000 0.1584 0.5000
Sn2 0.0000 0.6584 0.5000
Sn3 0.1584 0.5000 0.0000
Sn4 0.3416 0.3416 0.3416
Sn5 0.5000 0.0000 0.1584
Sn6 0.5000 0.0000 0.6584
Sn7 0.6584 0.5000 0.0000
Sn8 0.8416 0.8416 0.8416
Pd1 0.1250 0.7500 0.8750
Pd2 0.2500 0.6250 0.3750
Pd3 0.3750 0.2500 0.6250
Pd4 0.6250 0.3750 0.2500
Pd5 0.7500 0.8750 0.1250
Pd6 0.8750 0.1250 0.7500

=====

Record 2
AcSn4Pd8: relaxed, PBE.

## Properties
- ΔH_f (0 K) (kJ/mol of formula units) = -644
- magnetization (μB per cell) = 0.00

a b c (Å): 7.1672 7.1672 7.1672
angles (deg): 99.95 99.95 130.88
Positions (direct):
Ac1 0.0000 0.0000 0.0000
Sn1 0.0000 0.0000 0.5000
Sn2 0.0000 0.5000 0.0000
Sn3 0.5000 0.0000 0.0000
Sn4 0.5000 0.5000 0.5000
Pd1 0.0000 0.3366 0.3366
Pd2 0.0000 0.6634 0.6634
Pd3 0.2755 0.5000 0.7755
Pd4 0.3366 0.0000 0.3366
Pd5 0.5000 0.2755 0.7755
Pd6 0.5000 0.7245 0.2245
Pd7 0.6634 0.0000 0.6634
Pd8 0.7245 0.5000 0.2245

=====

Record 3
Ac2SnPd5: relaxed, PBE.

## Properties
- energy above the most stable polymorph in this dataset (meV per atom) = 0
- ΔH_f (0 K) (kJ/mol of formula units) = -587
- magnetization (μB per cell) = 0.00

a b c (Å): 7.5497 6.7586 14.5159
angles (deg): 90.00 90.00 90.00
Positions (direct):
Ac1 0.0186 0.2500 0.1912
Ac2 0.1716 0.7500 0.4208
Ac3 0.3284 0.2500 0.9208
Ac4 0.4814 0.7500 0.6912
Ac5 0.5186 0.2500 0.3088
Ac6 0.6716 0.7500 0.0792
Ac7 0.8284 0.2500 0.5792
Ac8 0.9814 0.7500 0.8088
Sn1 0.1549 0.7500 0.1199
Sn2 0.3451 0.2500 0.6199
Sn3 0.6549 0.7500 0.3801
Sn4 0.8451 0.2500 0.8801
Pd1 0.0000 0.0000 0.0000
Pd2 0.0000 0.5000 0.0000
Pd3 0.0943 0.2500 0.7537
Pd4 0.1183 0.5540 0.6184
Pd5 0.1183 0.9460 0.6184
Pd6 0.1899 0.2500 0.4418
Pd7 0.3101 0.7500 0.9418
Pd8 0.3817 0.0540 0.1184
Pd9 0.3817 0.4460 0.1184
Pd10 0.4057 0.7500 0.2537
Pd11 0.5000 0.0000 0.5000
Pd12 0.5000 0.5000 0.5000
Pd13 0.5943 0.2500 0.7463
Pd14 0.6183 0.5540 0.8816
Pd15 0.6183 0.9460 0.8816
Pd16 0.6899 0.2500 0.0582
Pd17 0.8101 0.7500 0.5582
Pd18 0.8817 0.0540 0.3816
Pd19 0.8817 0.4460 0.3816
Pd20 0.9057 0.7500 0.2463

=====

Record 4
AcSn2Pd5: relaxed, PBE.

## Properties
- energy above the most stable polymorph in this dataset (meV per atom) = 0
- ΔH_f (0 K) (kJ/mol of formula units) = -487
- magnetization (μB per cell) = 0.00

a b c (Å): 7.3028 7.3028 7.3028
angles (deg): 145.09 130.97 61.59
Positions (direct):
Ac1 0.0000 0.0000 0.0000
Sn1 0.2848 0.7848 0.5000
Sn2 0.7152 0.2152 0.5000
Pd1 0.1534 0.3813 0.7721
Pd2 0.3908 0.6187 0.7721
Pd3 0.5000 0.0000 0.5000
Pd4 0.6092 0.3813 0.2279
Pd5 0.8466 0.6187 0.2279

=====

Record 5
Ac12SnPd6: relaxed, PBE.

## Properties
- ΔH_f (0 K) (kJ/mol of formula units) = -1063
- magnetization (μB per cell) = 0.00

a b c (Å): 9.4809 9.4809 9.4809
angles (deg): 109.47 109.47 109.47
Positions (direct):
Ac1 0.1246 0.8189 0.3058
Ac2 0.1811 0.3058 0.4869
Ac3 0.1811 0.6942 0.8754
Ac4 0.3058 0.1246 0.8189
Ac5 0.3058 0.4869 0.1811
Ac6 0.4869 0.1811 0.3058
Ac7 0.5131 0.8189 0.6942
Ac8 0.6942 0.5131 0.8189
Ac9 0.6942 0.8754 0.1811
Ac10 0.8189 0.3058 0.1246
Ac11 0.8189 0.6942 0.5131
Ac12 0.8754 0.1811 0.6942
Sn1 0.0000 0.0000 0.0000
Pd1 0.1300 0.6300 0.5000
Pd2 0.3700 0.5000 0.8700
Pd3 0.5000 0.1300 0.6300
Pd4 0.5000 0.8700 0.3700
Pd5 0.6300 0.5000 0.1300
Pd6 0.8700 0.3700 0.5000

=====

Record 6
Ac7Sn4Pd: relaxed, PBE.

## Properties
- ΔH_f (0 K) (kJ/mol of formula units) = -549
- magnetization (μB per cell) = 0.00

a b c (Å): 8.9328 8.9328 12.0175
angles (deg): 125.12 125.12 37.86
Positions (direct):
Ac1 0.0000 0.0000 0.0000
Ac2 0.1437 0.1437 0.5607
Ac3 0.2887 0.2887 0.1364
Ac4 0.4212 0.4212 0.7041
Ac5 0.5788 0.5788 0.2959
Ac6 0.7113 0.7113 0.8636
Ac7 0.8563 0.8563 0.4393
Sn1 0.0774 0.0774 0.7816
Sn2 0.2218 0.2218 0.3446
Sn3 0.7782 0.7782 0.6554
Sn4 0.9226 0.9226 0.2184
Pd1 0.5000 0.5000 0.0000